A geometry-optimized LaMgSnBi structure. Source: Alexandria via LeMat-Bulk, functional PBE-GGA.

```
LaMgSnBi
1.0
4.545 0.000 0.000
0.000 5.015 0.000
0.000 0.000 4.993
La Mg Sn Bi
1 1 1 1
Direct
0.500 0.500 0.000 La
0.500 0.000 0.500 Mg
0.000 0.000 0.000 Sn
0.000 0.500 0.500 Bi
```


A geometry-optimized LaMgSnBi structure. Source: Alexandria via LeMat-Bulk, functional PBE-GGA.

```
LaMgSnBi
1.0
-2.639 3.018 -3.735
0.144 -1.440 -5.284
-4.501 -1.966 -2.427
Mg Bi Sn La
1 1 1 1
Direct
0.250 0.250 0.250 Mg
0.000 0.000 0.000 Bi
0.500 0.500 0.500 Sn
0.750 0.750 0.750 La
```


no.,raw total energy (eV/cell),total magnetic moment (μB/atom)
1,-16.65,0.00
2,-15.96,0.00